## TcTeCl2 (GGA-PBE)

Data for a relaxed structure of TcTeCl2.

Properties
Total DFT energy (no corrections) ... -4.33 eV per atom
Total magnetization ... 0.167 μB per formula unit
SG ... R-3m (166)
DOS(E_F) ... 1.130 states/eV per atom

a = 10.7400 Å, b = 10.7400 Å, c = 10.7400 Å
α = 17.39°, β = 17.39°, γ = 17.39°
Each line ends with the local moment (μB).
Fractional coordinates of all 4 atoms:
Te 0.7500 0.7500 0.7500  0.07
Tc 0.2500 0.2500 0.2500  0.03
Cl 0.9664 0.9664 0.9664  0.00
Cl 0.5336 0.5336 0.5336  0.00